DFT (PBE) results for a relaxed structure of Th2TlGa.

As for the distance to the lowest polymorph of the same formula: 188 meV per atom. Its mass density is 9.89 g/cm³. The value obtained for the electronic total energy is -5.16 eV/atom. The value obtained for the size of the total moment is 0.00 μB per atom.

The space group is R-3m (No. 166, hexagonal axes) and the conventional cell measures 4.2128, 4.2128 and 24.2004 Å, with angles of 90.00, 90.00 and 120.00 degrees. Symmetry generates all atoms from Th at (0.0000, 0.0000, 0.2381), Tl at (0.0000, 0.0000, 0.0000) and Ga at (0.0000, 0.0000, 0.5000).